(1)
AlTe2: relaxed, PBE.

The structure in POSCAR format:
```
AlTe2
1.0
2.284 -1.614 7.077
5.638 -1.284 4.946
2.376 6.609 4.764
Te Al
4 2
Cartesian
2.416 2.410 4.176
7.247 4.520 12.107
3.804 0.633 6.086
5.160 4.216 8.775
7.598 -2.710 11.541
6.389 2.683 10.472
```

Results
The density of states at the Fermi level is 0.214 states/eV/f.u. The space-group type is No. 8.



(2)
Al7Te10: relaxed, PBE.

The structure in POSCAR format:
```
Al7Te10
1.0
10.484 -0.004 -0.004
0.033 10.484 -0.004
0.033 0.033 10.484
Al Te
14 20
Cartesian
4.421 1.619 1.152
1.752 7.788 3.629
1.635 1.168 4.411
7.794 3.635 1.711
6.034 6.012 5.991
8.916 6.098 9.324
2.757 8.789 6.847
3.663 1.739 7.775
8.799 6.857 2.701
1.173 4.417 1.615
4.517 4.501 4.485
6.130 9.356 8.861
9.377 8.882 6.065
6.888 2.732 8.765
0.851 7.051 6.053
4.469 3.481 9.671
3.497 9.687 4.423
0.878 5.272 9.651
2.558 3.248 5.864
3.257 5.873 2.525
9.673 0.843 5.238
8.597 1.890 -0.004
7.993 4.638 7.249
1.787 1.781 1.774
8.764 8.733 8.702
5.275 9.654 0.825
9.699 4.435 3.447
7.294 7.967 4.612
4.666 7.277 7.951
5.885 2.537 3.227
6.081 0.830 7.029
1.921 0.027 8.590
7.054 6.056 0.805
0.033 8.597 1.890
```

Results
The space-group type is No. 155.



(3)
AlTe2: relaxed, PBE.

The structure in POSCAR format:
```
AlTe2
1.0
2.659 -4.606 0.000
2.659 4.606 0.000
0.000 0.000 6.195
Te Al
4 2
Cartesian
2.659 1.535 1.549
0.000 0.000 0.000
2.659 -1.535 4.646
0.000 0.000 3.097
2.659 -1.535 1.549
2.659 1.535 4.646
```

Results
The density of states at the Fermi level is 2.265 states/eV/f.u. The space-group type is No. 194.



(4)
Al2Te: relaxed, PBE.

The structure in POSCAR format:
```
Al2Te
1.0
6.926 0.000 0.000
0.000 6.926 0.000
0.000 0.000 6.926
Te Al
4 8
Cartesian
0.000 3.463 3.463
0.000 0.000 0.000
3.463 3.463 0.000
3.463 0.000 3.463
2.692 2.692 4.234
2.692 0.771 0.771
4.234 4.234 2.692
6.154 0.771 2.692
6.154 2.692 6.154
4.234 6.154 6.154
0.771 4.234 0.771
0.771 6.154 4.234
```

Results
The density of states at the Fermi level is 1.234 states/eV/f.u. The value obtained for the offset from the most stable computed form is 0.3342 eV per atom. The space-group type is No. 205.



(5)
AlTe: relaxed, PBE.

The structure in POSCAR format:
```
AlTe
1.0
-6.761 -1.158 5.152
-4.971 -1.429 -6.844
1.782 -8.379 0.455
Te Al
8 8
Cartesian
-4.279 -7.169 -2.867
-6.065 -2.844 2.903
-0.851 -7.251 0.037
-4.976 -7.063 1.808
-7.608 -4.354 -1.037
-3.036 -3.346 -0.377
-4.973 -3.009 -4.418
-8.011 -8.829 -0.996
-4.974 -4.500 -2.128
-3.336 -6.186 -0.358
-1.207 -1.330 -0.150
-6.182 -6.813 -0.768
-10.093 -3.289 -1.431
-3.622 -8.759 -4.989
-4.978 -8.554 4.097
-5.408 -4.434 0.781
```

Results
The density of states at the Fermi level is 1.727 states/eV/f.u. The space-group type is No. 217.



(6)
AlTe: relaxed, PBE.

The structure in POSCAR format:
```
AlTe
1.0
-9.178 6.096 -3.838
-6.479 -4.269 8.713
1.061 3.029 2.273
Te Al
8 8
Cartesian
-8.095 -1.131 8.690
-5.997 1.841 0.346
-6.501 5.988 -1.541
-9.975 2.537 1.277
-9.661 -0.014 4.529
-5.682 -0.710 3.598
-13.295 4.269 3.921
-1.301 0.587 3.228
-3.758 2.709 1.548
-12.117 2.108 2.848
-3.540 -0.281 2.027
-10.839 2.148 5.601
-9.021 5.021 0.923
-8.202 -1.676 6.062
-7.455 3.503 -1.187
-5.575 -0.165 6.225
```

Results
The density of states at the Fermi level is 0.666 states/eV/f.u. The space-group type is No. 87.



no.,ρ (g/cm³),ΔE_f (raw) (eV per atom),calculated volume (A^3/atom)
1,4.2,-0.193,36.84
2,4.2,-0.435,33.89
3,6.2,0.197,25.29
4,3.6,0.300,27.68
5,3.3,0.014,39.46
6,3.8,-0.121,33.46